Density functional theory data (PBE) for a geometry-optimized PaI3Br structure.

volume	255	Å³/f.u.
raw total energy	-4.202	eV per atom
density of states at the Fermi level	10.34	states/eV per cell
space-group type	No. 46
M_tot	1.00	μB/f.u.

```
PaI3Br
1.0
-0.7955 -7.9937 3.6054
3.7063 0.9319 -7.9326
5.2724 4.1248 5.7201
Br Pa I
2 2 6
Cartesian
4.9316 -1.2030 4.7121
3.4374 -2.1849 -3.5955
1.9462 0.2421 -4.1005
4.9653 -0.0939 7.3838
4.7203 2.9591 2.2320
7.0504 3.3773 -1.3243
4.4439 1.6479 -4.7192
1.3143 -6.7547 2.4473
6.1754 -0.5715 0.0678
2.1927 -2.8146 1.0492
```